A geometry-optimized Tl2Bi2Pd5 structure. Source: Alexandria via LeMat-Bulk, functional PBE.

```
data_Tl2Bi2Pd5
_cell_length_a 5.327
_cell_length_b 3.309
_cell_length_c 11.587
_cell_angle_alpha 81.47
_cell_angle_beta 104.02
_cell_angle_gamma 108.25
_symmetry_space_group_name_H-M 'P 1'
_symmetry_Int_Tables_number 1
loop_
_symmetry_equiv_pos_as_xyz
'x,y,z'
loop_
_atom_site_label
_atom_site_fract_x
_atom_site_fract_y
_atom_site_fract_z
Tl1 0.687 0.283 0.119
Tl2 0.313 0.717 0.881
Bi1 0.144 0.877 0.384
Bi2 0.856 0.123 0.616
Pd1 0.283 0.542 0.195
Pd2 0.677 0.154 0.361
Pd3 0.323 0.846 0.639
Pd4 0.717 0.458 0.805
Pd5 0.000 0.000 0.000
```

Computed properties:
DFT formation energy, eV/atom: -0.17
V, Å³ per atom: 20.8
Size of the total moment, μB per formula unit: 0.00
Total energy, eV per atom: -4.44
Density of states at the Fermi level, states/eV/atom: 0.3995
Crystal system: triclinic



A geometry-optimized PaHgNO structure. Source: Alexandria via LeMat-Bulk, functional PBE.

```
data_PaHgNO
_cell_length_a 3.603
_cell_length_b 3.603
_cell_length_c 8.025
_cell_angle_alpha 89.84
_cell_angle_beta 90.16
_cell_angle_gamma 119.99
_symmetry_space_group_name_H-M 'P 1'
_symmetry_Int_Tables_number 1
loop_
_symmetry_equiv_pos_as_xyz
'x,y,z'
loop_
_atom_site_label
_atom_site_fract_x
_atom_site_fract_y
_atom_site_fract_z
Pa1 0.145 0.855 0.232
Hg1 0.149 0.851 0.709
N1 0.479 0.521 0.334
O1 0.812 0.188 0.114
```

Computed properties:
Raw formation energy, eV/atom: -1.80
V, Å³ per atom: 22.6
Size of the total moment, μB per formula unit: 0.00
Total energy, eV per atom: -7.57
Density of states at the Fermi level, states/eV/atom: 0.0000
Crystal system: monoclinic



A geometry-optimized Ce2GeP structure. Source: Alexandria via LeMat-Bulk, functional PBE.

```
data_Ce2GeP
_cell_length_a 3.443
_cell_length_b 3.443
_cell_length_c 7.560
_cell_angle_alpha 90.00
_cell_angle_beta 90.00
_cell_angle_gamma 90.00
_symmetry_space_group_name_H-M 'P 1'
_symmetry_Int_Tables_number 1
loop_
_symmetry_equiv_pos_as_xyz
'x,y,z'
loop_
_atom_site_label
_atom_site_fract_x
_atom_site_fract_y
_atom_site_fract_z
P1 0.500 0.500 0.000
Ge1 0.500 0.500 0.500
Ce1 0.000 0.000 0.772
Ce2 0.000 0.000 0.228
```

Computed properties:
DFT formation energy, eV/atom: -0.89
V, Å³ per atom: 22.4
Size of the total moment, μB per formula unit: 1.32
Total energy, eV per atom: -6.36
Density of states at the Fermi level, states/eV/atom: 2.3814
Crystal system: tetragonal



A geometry-optimized Na2N2O structure. Source: Alexandria via LeMat-Bulk, functional PBE.

```
data_Na2N2O
_cell_length_a 6.451
_cell_length_b 6.451
_cell_length_c 3.114
_cell_angle_alpha 90.00
_cell_angle_beta 90.00
_cell_angle_gamma 90.00
_symmetry_space_group_name_H-M 'P 1'
_symmetry_Int_Tables_number 1
loop_
_symmetry_equiv_pos_as_xyz
'x,y,z'
loop_
_atom_site_label
_atom_site_fract_x
_atom_site_fract_y
_atom_site_fract_z
Na1 0.233 0.733 0.500
Na2 0.733 0.767 0.500
Na3 0.767 0.267 0.500
Na4 0.267 0.233 0.500
O1 0.000 0.000 0.000
O2 0.500 0.500 0.000
N1 0.437 0.937 0.000
N2 0.937 0.563 0.000
N3 0.563 0.063 0.000
N4 0.063 0.437 0.000
```

Computed properties:
Raw formation energy, eV/atom: -0.32
V, Å³ per atom: 13.0
Size of the total moment, μB per formula unit: 0.27
Total energy, eV per atom: -5.17
Density of states at the Fermi level, states/eV/atom: 0.4450
Crystal system: tetragonal



A geometry-optimized Tb6Dy3Mg structure. Source: Alexandria via LeMat-Bulk, functional PBE.

```
data_Tb6Dy3Mg
_cell_length_a 9.059
_cell_length_b 8.728
_cell_length_c 8.728
_cell_angle_alpha 114.84
_cell_angle_beta 90.00
_cell_angle_gamma 90.00
_symmetry_space_group_name_H-M 'P 1'
_symmetry_Int_Tables_number 1
loop_
_symmetry_equiv_pos_as_xyz
'x,y,z'
loop_
_atom_site_label
_atom_site_fract_x
_atom_site_fract_y
_atom_site_fract_z
Tb1 0.101 0.856 0.712
Tb2 0.601 0.712 0.856
Tb3 0.267 0.522 0.830
Tb4 0.767 0.830 0.522
Tb5 0.284 0.937 0.063
Tb6 0.652 0.297 0.703
Tb7 0.152 0.703 0.297
Tb8 0.784 0.063 0.937
Tb9 0.267 0.170 0.478
Tb10 0.767 0.478 0.170
Tb11 0.101 0.288 0.144
Tb12 0.601 0.144 0.288
Dy1 0.440 0.967 0.681
Dy2 0.940 0.681 0.967
Dy3 0.427 0.534 0.466
Dy4 0.927 0.466 0.534
Dy5 0.940 0.033 0.319
Dy6 0.440 0.319 0.033
Mg1 0.004 0.241 0.759
Mg2 0.504 0.759 0.241
```

Computed properties:
DFT formation energy, eV/atom: 0.13
V, Å³ per atom: 31.3
Size of the total moment, μB per formula unit: 0.00
Total energy, eV per atom: -4.19
Density of states at the Fermi level, states/eV/atom: 1.1919
Crystal system: orthorhombic



A geometry-optimized K2RbCa structure. Source: Alexandria via LeMat-Bulk, functional PBE.

```
data_K2RbCa
_cell_length_a 7.186
_cell_length_b 7.186
_cell_length_c 7.186
_cell_angle_alpha 60.00
_cell_angle_beta 60.00
_cell_angle_gamma 60.00
_symmetry_space_group_name_H-M 'P 1'
_symmetry_Int_Tables_number 1
loop_
_symmetry_equiv_pos_as_xyz
'x,y,z'
loop_
_atom_site_label
_atom_site_fract_x
_atom_site_fract_y
_atom_site_fract_z
Ca1 0.000 0.000 0.000
K1 0.250 0.250 0.250
K2 0.750 0.750 0.750
Rb1 0.500 0.500 0.500
```

Computed properties:
DFT formation energy, eV/atom: 0.16
V, Å³ per atom: 65.6
Size of the total moment, μB per formula unit: 0.00
Total energy, eV per atom: -1.13
Density of states at the Fermi level, states/eV/atom: 0.7477
Crystal system: cubic